# 1
Computed, not measured: an optimized crystal structure of LuTlFe2 at the GGA-PBE level of DFT.

Calculated values
Total DFT energy (no corrections), eV/atom: -5.59
Symmetry: F-43m, No. 216
ρ, g/cm³: 11.4

Cell lengths 6.5931, 6.5931, 6.5931 Å; angles 90.00, 90.00, 90.00 degrees
With the nearest neighbours (Å) after each atom.
Fractional positions:
Lu 0.0000 0.0000 0.0000  4 Tl 2.85, 4 Fe 2.85
Lu 0.0000 0.5000 0.5000  4 Tl 2.85, 4 Fe 2.85
Lu 0.5000 0.0000 0.5000  4 Tl 2.85, 4 Fe 2.85
Lu 0.5000 0.5000 0.0000  4 Tl 2.85, 4 Fe 2.85
Tl 0.2500 0.2500 0.7500  4 Fe 2.85, 4 Lu 2.85
Tl 0.2500 0.7500 0.2500  4 Fe 2.85, 4 Lu 2.85
Tl 0.7500 0.2500 0.2500  4 Fe 2.85, 4 Lu 2.85
Tl 0.7500 0.7500 0.7500  4 Fe 2.85, 4 Lu 2.85
Fe 0.0000 0.0000 0.5000  4 Tl 2.85, 4 Fe 2.85
Fe 0.0000 0.5000 0.0000  4 Tl 2.85, 4 Fe 2.85
Fe 0.2500 0.2500 0.2500  4 Fe 2.85, 4 Lu 2.85
Fe 0.2500 0.7500 0.7500  4 Fe 2.85, 4 Lu 2.85
Fe 0.5000 0.0000 0.0000  4 Tl 2.85, 4 Fe 2.85
Fe 0.5000 0.5000 0.5000  4 Tl 2.85, 4 Fe 2.85
Fe 0.7500 0.2500 0.7500  4 Fe 2.85, 4 Lu 2.85
Fe 0.7500 0.7500 0.2500  4 Fe 2.85, 4 Lu 2.85



# 2
Computed, not measured: an optimized crystal structure of YLuTlFe at the GGA-PBE level of DFT.

Calculated values
Total DFT energy (no corrections), eV/atom: -5.21
Symmetry: F-43m, No. 216
ρ, g/cm³: 10.1

Cell lengths 7.0213, 7.0213, 7.0213 Å; angles 90.00, 90.00, 90.00 degrees
With the nearest neighbours (Å) after each atom.
Fractional positions:
Y 0.0000 0.0000 0.0000  4 Tl 3.04, 4 Lu 3.04
Y 0.0000 0.5000 0.5000  4 Tl 3.04, 4 Lu 3.04
Y 0.5000 0.0000 0.5000  4 Tl 3.04, 4 Lu 3.04
Y 0.5000 0.5000 0.0000  4 Tl 3.04, 4 Lu 3.04
Lu 0.2500 0.2500 0.7500  4 Fe 3.04, 4 Y 3.04
Lu 0.2500 0.7500 0.2500  4 Fe 3.04, 4 Y 3.04
Lu 0.7500 0.2500 0.2500  4 Fe 3.04, 4 Y 3.04
Lu 0.7500 0.7500 0.7500  4 Fe 3.04, 4 Y 3.04
Tl 0.2500 0.2500 0.2500  4 Fe 3.04, 4 Y 3.04
Tl 0.2500 0.7500 0.7500  4 Fe 3.04, 4 Y 3.04
Tl 0.7500 0.2500 0.7500  4 Fe 3.04, 4 Y 3.04
Tl 0.7500 0.7500 0.2500  4 Fe 3.04, 4 Y 3.04
Fe 0.0000 0.0000 0.5000  4 Tl 3.04, 4 Lu 3.04
Fe 0.0000 0.5000 0.0000  4 Tl 3.04, 4 Lu 3.04
Fe 0.5000 0.0000 0.0000  4 Tl 3.04, 4 Lu 3.04
Fe 0.5000 0.5000 0.5000  4 Lu 3.04, 4 Tl 3.04